# NdCrO5 | the Alexandria database | GGA+U | relaxed
# Uncorrected energy: -7.01 eV per atom
# Total magnetization: 2.01 μB/cell
data_NdCrO5
_chemical_formula_sum 'Nd2 Cr2 O10'
_symmetry_space_group_name_H-M 'P 4/n m m'
_symmetry_Int_Tables_number 129
_cell_length_a 7.4530
_cell_length_b 7.4530
_cell_length_c 4.6554
_cell_angle_alpha 90.00
_cell_angle_beta 90.00
_cell_angle_gamma 90.00
loop_
_symmetry_equiv_pos_as_xyz
'x,y,z'
'-x,-y,-z'
'-y+1/2,x,z'
'y+1/2,-x,-z'
'-x+1/2,-y+1/2,z'
'x+1/2,y+1/2,-z'
'y,-x+1/2,z'
'-y,x+1/2,-z'
'x+1/2,-y,-z'
'-x+1/2,y,z'
'-y,-x,-z'
'y,x,z'
'-x,y+1/2,-z'
'x,-y+1/2,z'
'y+1/2,x+1/2,-z'
'-y+1/2,-x+1/2,z'
loop_
_atom_site_label
_atom_site_type_symbol
_atom_site_fract_x
_atom_site_fract_y
_atom_site_fract_z
Nd1 Nd 0.2500 0.2500 0.2410
Cr1 Cr 0.2500 0.7500 0.5000
O1 O 0.0677 0.7500 0.7061
O2 O 0.2500 0.2500 0.7440